The following is a DFT calculation (PBE with a Hubbard U) of a relaxed structure of TcWNF2.

Output
Fermi-level density of states: 0.533 states/eV per atom
VASP energy: -5.9781 eV/atom
Offset from the most stable computed form: 71 meV/atom
Space group: P4/mmm (123)

Unit cell a=4.220 b=4.220 c=3.902 alpha=90.00 beta=90.00 gamma=90.00
Fractional positions:
N  0.000  0.000  0.500
Tc  0.000  0.000  0.000
W  0.500  0.500  0.500
F  0.000  0.500  0.000
F  0.500  0.000  0.000